# HoZrS2Cl2 GGA-PBE optimized geometry
# Energy = -36.2 eV per cell
# Crystal system = orthorhombic
data_HoZrS2Cl2
_chemical_formula_sum 'Ho1 Zr1 S2 Cl2'
_cell_length_a 3.757
_cell_length_b 5.251
_cell_length_c 8.061
_cell_angle_alpha 90.00
_cell_angle_beta 90.00
_cell_angle_gamma 90.00
_symmetry_space_group_name_H-M 'P m m 2'
_symmetry_Int_Tables_number 25
loop_
_symmetry_equiv_pos_as_xyz
'x,y,z'
'-x,-y,z'
'-x,y,z'
'x,-y,z'
loop_
_atom_site_label
_atom_site_fract_x
_atom_site_fract_y
_atom_site_fract_z
Ho1 0.000 0.000 0.000
Zr1 0.500 0.500 0.751
S1 0.000 0.500 0.974
S2 0.500 0.000 0.754
Cl1 0.000 0.500 0.529
Cl2 0.500 0.000 0.228

***

# SmHoSbCl2 GGA-PBE optimized geometry
# Energy = -25.3 eV per cell
# Crystal system = trigonal
data_SmHoSbCl2
_chemical_formula_sum 'Sm1 Ho1 Sb1 Cl2'
_cell_length_a 4.1984
_cell_length_b 4.1984
_cell_length_c 10.5946
_cell_angle_alpha 90.00
_cell_angle_beta 90.00
_cell_angle_gamma 120.00
_symmetry_space_group_name_H-M 'P 3 m 1'
_symmetry_Int_Tables_number 156
loop_
_symmetry_equiv_pos_as_xyz
'x,y,z'
'-y,x-y,z'
'-x+y,-x,z'
'-y,-x,z'
'-x+y,y,z'
'x,x-y,z'
loop_
_atom_site_label
_atom_site_fract_x
_atom_site_fract_y
_atom_site_fract_z
Sm1 0.0000 0.0000 0.0000
Ho1 0.3333 0.6667 0.3377
Sb1 0.6667 0.3333 0.1746
Cl1 0.0000 0.0000 0.4793
Cl2 0.3333 0.6667 0.8509

***

# HoTmSbCl2 GGA-PBE optimized geometry
# Energy = -24.8 eV per cell
# Crystal system = trigonal
data_HoTmSbCl2
_chemical_formula_sum 'Ho1 Tm1 Sb1 Cl2'
_cell_length_a 4.1104
_cell_length_b 4.1104
_cell_length_c 10.4781
_cell_angle_alpha 90.00
_cell_angle_beta 90.00
_cell_angle_gamma 120.00
_symmetry_space_group_name_H-M 'P 3 m 1'
_symmetry_Int_Tables_number 156
loop_
_symmetry_equiv_pos_as_xyz
'x,y,z'
'-y,x-y,z'
'-x+y,-x,z'
'-y,-x,z'
'-x+y,y,z'
'x,x-y,z'
loop_
_atom_site_label
_atom_site_fract_x
_atom_site_fract_y
_atom_site_fract_z
Ho1 0.0000 0.0000 0.0000
Tm1 0.6667 0.3333 0.6639
Sb1 0.3333 0.6667 0.8300
Cl1 0.0000 0.0000 0.5198
Cl2 0.6667 0.3333 0.1467

***

# YHoSbCl2 GGA-PBE optimized geometry
# Energy = -27.0 eV per cell
# Crystal system = trigonal
data_YHoSbCl2
_chemical_formula_sum 'Y1 Ho1 Sb1 Cl2'
_cell_length_a 4.1530
_cell_length_b 4.1530
_cell_length_c 10.5113
_cell_angle_alpha 90.00
_cell_angle_beta 90.00
_cell_angle_gamma 120.00
_symmetry_space_group_name_H-M 'P 3 m 1'
_symmetry_Int_Tables_number 156
loop_
_symmetry_equiv_pos_as_xyz
'x,y,z'
'-y,x-y,z'
'-x+y,-x,z'
'-y,-x,z'
'-x+y,y,z'
'x,x-y,z'
loop_
_atom_site_label
_atom_site_fract_x
_atom_site_fract_y
_atom_site_fract_z
Y1 0.0000 0.0000 0.0000
Ho1 0.3333 0.6667 0.3376
Sb1 0.6667 0.3333 0.1701
Cl1 0.0000 0.0000 0.4826
Cl2 0.3333 0.6667 0.8528

***

# HoScCl6 GGA-PBE optimized geometry
# Energy = -79.1 eV per cell
# Crystal system = monoclinic
data_HoScCl6
_chemical_formula_sum 'Ho2 Sc2 Cl12'
_cell_length_a 6.597
_cell_length_b 11.464
_cell_length_c 6.473
_cell_angle_alpha 90.00
_cell_angle_beta 109.96
_cell_angle_gamma 90.00
_symmetry_space_group_name_H-M 'C 1 2 1'
_symmetry_Int_Tables_number 5
loop_
_symmetry_equiv_pos_as_xyz
'x,y,z'
'-x,y,-z'
'x+1/2,y+1/2,z'
'-x+1/2,y+1/2,-z'
loop_
_atom_site_label
_atom_site_fract_x
_atom_site_fract_y
_atom_site_fract_z
Ho1 0.000 0.000 0.000
Sc1 0.000 0.332 0.000
Cl1 0.222 0.173 0.238
Cl2 0.232 0.341 0.765
Cl3 0.247 0.483 0.236

***

# Ho3ScCl GGA-PBE optimized geometry
# Energy = -23.7 eV per cell
# Crystal system = cubic
data_Ho3ScCl
_chemical_formula_sum 'Ho3 Sc1 Cl1'
_cell_length_a 5.174
_cell_length_b 5.174
_cell_length_c 5.174
_cell_angle_alpha 90.00
_cell_angle_beta 90.00
_cell_angle_gamma 90.00
_symmetry_space_group_name_H-M 'P m -3 m'
_symmetry_Int_Tables_number 221
_symmetry_space_group_name_Hall '-P 4 2 3'
loop_
_atom_site_label
_atom_site_fract_x
_atom_site_fract_y
_atom_site_fract_z
Ho1 0.000 0.000 0.500
Sc1 0.500 0.500 0.500
Cl1 0.000 0.000 0.000

***

# YHoSe2Cl2 GGA-PBE optimized geometry
# Energy = -34.1 eV per cell
# Crystal system = orthorhombic
data_YHoSe2Cl2
_chemical_formula_sum 'Y1 Ho1 Se2 Cl2'
_cell_length_a 4.035
_cell_length_b 5.651
_cell_length_c 8.217
_cell_angle_alpha 90.00
_cell_angle_beta 90.00
_cell_angle_gamma 90.00
_symmetry_space_group_name_H-M 'P m m 2'
_symmetry_Int_Tables_number 25
loop_
_symmetry_equiv_pos_as_xyz
'x,y,z'
'-x,-y,z'
'-x,y,z'
'x,-y,z'
loop_
_atom_site_label
_atom_site_fract_x
_atom_site_fract_y
_atom_site_fract_z
Y1 0.000 0.000 0.000
Ho1 0.500 0.500 0.284
Se1 0.000 0.500 0.036
Se2 0.500 0.000 0.250
Cl1 0.000 0.500 0.493
Cl2 0.500 0.000 0.788

***

# Ho4SiCl5 GGA-PBE optimized geometry
# Energy = -99.4 eV per cell
# Crystal system = monoclinic
data_Ho4SiCl5
_chemical_formula_sum 'Ho8 Si2 Cl10'
_cell_length_a 17.389
_cell_length_b 3.914
_cell_length_c 8.024
_cell_angle_alpha 90.00
_cell_angle_beta 102.45
_cell_angle_gamma 90.00
_symmetry_space_group_name_H-M 'C 1 2/m 1'
_symmetry_Int_Tables_number 12
loop_
_symmetry_equiv_pos_as_xyz
'x,y,z'
'-x,-y,-z'
'-x,y,-z'
'x,-y,z'
'x+1/2,y+1/2,z'
'-x+1/2,-y+1/2,-z'
'-x+1/2,y+1/2,-z'
'x+1/2,-y+1/2,z'
loop_
_atom_site_label
_atom_site_fract_x
_atom_site_fract_y
_atom_site_fract_z
Ho1 0.000 0.000 0.230
Ho2 0.154 0.500 0.083
Si1 0.000 0.500 0.000
Cl1 0.000 0.500 0.500
Cl2 0.166 0.000 0.322
Cl3 0.174 0.000 0.849